BeGaAs2: PBEsol geometry, meta-GGA SCAN.

Unit cell a=5.3473 b=5.3473 c=10.9025 alpha=90.00 beta=90.00 gamma=90.00
Space group I-42d (No. 122)
Unique sites:
1 Be 0.0000 0.0000 0.0000 (multiplicity 4)
2 Ga 0.0000 0.0000 0.5000 (multiplicity 4)
3 As 0.2153 0.2500 0.1250 (multiplicity 8)

## Properties
As for the formation energy from the elements: -0.18 eV/atom. For the density of states at the Fermi level, the calculation gives 0.487 states/eV per atom. The calculated volume is 19.484 Å³ per atom.